Record 1
The following is a PBE calculation of a relaxed structure of ErTe2, from Alexandria.

a = 4.426 Å, b = 4.426 Å, c = 8.827 Å
α = 90.00°, β = 90.00°, γ = 90.00°
Fractional coordinates of all 6 atoms:
1 Er 0.750 0.750 0.729
2 Te 0.250 0.250 0.628
3 Te 0.250 0.750 0.000
4 Te 0.750 0.250 0.000
5 Te 0.750 0.750 0.372
6 Er 0.250 0.250 0.271

* uncorrected formation energy: -1.1039 eV/atom
* D(E_F): 0.761 states/eV per cell

---

Record 2
The following is a PBE calculation of a relaxed structure of Ac2Fe2Si2N, from Alexandria.

a = 4.004 Å, b = 5.950 Å, c = 6.380 Å
α = 72.28°, β = 71.71°, γ = 70.34°
Fractional coordinates of all 7 atoms:
1 N 0.000 0.000 0.000
2 Ac 0.556 0.193 0.694
3 Si 0.195 0.373 0.237
4 Fe 0.182 0.703 0.932
5 Fe 0.818 0.297 0.068
6 Ac 0.444 0.807 0.306
7 Si 0.805 0.627 0.763

* uncorrected formation energy: -0.6490 eV/atom
* D(E_F): 4.605 states/eV per cell

---

Record 3
The following is a PBE calculation of a relaxed structure of LaBe2As, from Alexandria.

a = 3.820 Å, b = 4.212 Å, c = 4.730 Å
α = 79.71°, β = 90.00°, γ = 90.00°
Fractional coordinates of all 4 atoms:
1 Be 0.500 0.204 0.115
2 As 0.500 0.752 0.913
3 La 0.000 0.521 0.473
4 Be 0.000 0.024 0.999

* D(E_F): 0.975 states/eV per cell
* energy of formation from the pure elements: -212 meV/atom

---

no.,magnetic moment (μB per cell),density (kg/m³),raw total energy (eV/f.u.)
1,0.000,8116,-14.2
2,0.001,7969,-48.9
3,0.000,5142,-17.9